Record 1
Material: MoP2AuO
Method: DFT, PBE with a Hubbard U
State: optimized geometry

Computed properties:
SG: P4/mmm, No. 123
Offset from the most stable computed form in meV per atom: 719
Crystal system: tetragonal

abc: 4.874 4.874 3.953
angles: 90.00 90.00 90.00
Last column: magnetic moment on the atom in μB.
Positions (direct):
Au  0.000  0.000  0.000  -0.02
P  0.500  0.000  0.000  -0.27
O  0.000  0.000  0.500  -0.11
P  0.000  0.500  0.000  -0.27
Mo  0.500  0.500  0.500  3.56

Record 2
Material: MoPdAuO2
Method: DFT, PBE with a Hubbard U
State: optimized geometry

Computed properties:
SG: P4/mmm, No. 123
Crystal system: tetragonal
Energy in eV per atom: -4.599

abc: 4.030 4.030 5.167
angles: 90.00 90.00 90.00
Last column: magnetic moment on the atom in μB.
Positions (direct):
O  0.000  0.500  0.000  -0.23
Mo  0.500  0.500  0.500  3.79
O  0.500  0.000  0.000  -0.23
Pd  0.000  0.000  0.000  -0.19
Au  0.000  0.000  0.500  0.05